Record 1
A geometry-optimized ScV3P structure, computed with GGA-PBE.

Results
Formation enthalpy at 0 K ... 4.6 kJ/mol of atoms
Density of states at the Fermi level ... 7.5 states/eV/cell
Total moment ... 0.189 μB/atom
Space-group type ... Pm-3m (221)

abc: 4.402 4.402 4.402
angles: 90.00 90.00 90.00
Site moments in Bohr magnetons follow the coordinates.
Atoms (fractional coordinates):
Sc: 0.500 0.500 0.500  -0.02
P: 0.000 0.000 0.000  -0.02
V: 0.000 0.500 0.000  0.30
V: 0.000 0.000 0.500  0.30
V: 0.500 0.000 0.000  0.30

---

Record 2
A geometry-optimized ScVP structure, computed with GGA-PBE.

Results
Formation enthalpy at 0 K ... -103.3 kJ/mol of atoms
Density of states at the Fermi level ... 4.9 states/eV/cell
Total moment ... 0.000 μB/atom
Space-group type ... P4/nmm (129)

abc: 3.628 3.628 7.002
angles: 90.00 90.00 90.00
Atoms (fractional coordinates):
Sc: 0.000 0.500 0.858
Sc: 0.500 0.000 0.142
V: 0.500 0.500 0.500
V: 0.000 0.000 0.500
P: 0.000 0.500 0.255
P: 0.500 0.000 0.745

---

Record 3
A geometry-optimized Zr2ScVP structure, computed with GGA-PBE.

Results
Formation enthalpy at 0 K ... 7.6 kJ/mol of atoms
Density of states at the Fermi level ... 12.2 states/eV/cell
Total moment ... 0.000 μB/atom
Space-group type ... P4/mmm (123)

abc: 4.875 4.766 4.875
angles: 90.00 90.00 90.00
Atoms (fractional coordinates):
Sc: 0.000 0.500 0.000
P: 0.000 0.000 0.000
Zr: 0.000 0.000 0.500
Zr: 0.500 0.000 0.000
V: 0.500 0.500 0.500

---

Record 4
A geometry-optimized ScPW2 structure, computed with GGA-PBE.

Results
Formation enthalpy at 0 K ... 12.5 kJ/mol of atoms
Density of states at the Fermi level ... 3.1 states/eV/cell
Total moment ... 0.000 μB/atom
Space-group type ... P4/mmm (123)

abc: 2.974 2.974 7.516
angles: 90.00 90.00 90.00
Atoms (fractional coordinates):
Sc: 0.500 0.500 0.500
P: 0.500 0.500 0.000
W: 0.000 0.000 0.807
W: 0.000 0.000 0.193

---

Record 5
A geometry-optimized ScP2W structure, computed with GGA-PBE.

Results
Formation enthalpy at 0 K ... 2.3 kJ/mol of atoms
Density of states at the Fermi level ... 3.0 states/eV/cell
Total moment ... 0.000 μB/atom
Space-group type ... Cmm2 (35)

abc: 2.857 2.857 9.572
angles: 90.00 90.00 105.93
Atoms (fractional coordinates):
P: 0.000 0.000 0.937
P: 0.500 0.500 0.301
Sc: 0.000 0.000 0.508
W: 0.500 0.500 0.754

---

Record 6
A geometry-optimized ScP2W structure, computed with GGA-PBE.

Results
Formation enthalpy at 0 K ... -49.3 kJ/mol of atoms
Density of states at the Fermi level ... 2.6 states/eV/cell
Total moment ... 0.000 μB/atom
Space-group type ... Fm-3m (225)

abc: 4.395 4.395 4.395
angles: 60.00 60.00 60.00
Atoms (fractional coordinates):
Sc: 0.000 0.000 0.000
P: 0.250 0.250 0.250
P: 0.750 0.750 0.750
W: 0.500 0.500 0.500

---

- Among the records above, which one has the highest total moment?
  ScV3P

---

- Look up the total moment of the third one.
  0.000 μB/atom

---

- Which formula does entry 6 have?
  ScP2W